ZrTaNO: optimized geometry, PBE-GGA.

Results
uncorrected energy: -9.928 eV per atom
ΔE to the lowest computed polymorph: 57 meV per atom
SG: Pmc2_1, No. 26

POSCAR file:
```
ZrTaNO
1.0
5.7899 0.0000 0.0000
0.0000 3.1949 0.0000
0.0000 0.0000 5.9626
Ta O Zr N
2 2 2 2
Cartesian
0.3332 0.0000 4.0005
3.2282 0.0000 1.9621
4.8136 1.5974 4.6138
1.9186 1.5974 1.3487
2.7157 1.5974 5.2642
5.6107 1.5974 0.6984
5.1880 0.0000 2.1844
2.2930 0.0000 3.7782
```